AgBCl4: relaxed, GGA-PBE.

Geometry as POSCAR:
```
AgBCl4
1.0
4.338 -4.398 0.000
4.338 4.398 0.000
0.000 0.000 8.549
Ag B Cl
2 2 8
Direct
0.213 0.787 0.750
0.787 0.213 0.250
0.321 0.321 0.000
0.679 0.679 0.500
0.181 0.222 0.821
0.222 0.181 0.179
0.272 0.618 0.021
0.382 0.728 0.479
0.618 0.272 0.979
0.728 0.382 0.521
0.778 0.819 0.679
0.819 0.778 0.321
```

As for the final energy: -43.03 eV per cell. The formation energy (no corrections) is -0.767 eV per atom. For the density of states at the Fermi level, the calculation gives 0.00 states/eV per cell. Its spin magnetization is 0.00 μB/atom. Its crystal system is orthorhombic. The symmetry is C222_1, No. 20.

Ag2BCl4: relaxed, GGA-PBE.

Geometry as POSCAR:
```
Ag2BCl4
1.0
-2.509 2.509 6.816
2.509 -2.509 6.816
2.509 2.509 -6.816
Ag B Cl
2 1 4
Direct
0.250 0.750 0.500
0.750 0.250 0.500
0.000 0.000 0.000
0.135 0.706 0.000
0.294 0.294 0.428
0.706 0.135 0.000
0.865 0.865 0.572
```

As for the final energy: -21.95 eV per cell. The formation energy (no corrections) is -0.312 eV per atom. For the density of states at the Fermi level, the calculation gives 2.88 states/eV per cell. Its spin magnetization is 0.00 μB/atom. Its crystal system is tetragonal. The symmetry is I-42m, No. 121.

AgBCl3: relaxed, GGA-PBE.

Geometry as POSCAR:
```
AgBCl3
1.0
4.477 0.000 0.000
0.000 4.477 0.000
0.000 0.000 4.477
Ag B Cl
1 1 3
Direct
0.000 0.000 0.000
0.500 0.500 0.500
0.000 0.500 0.500
0.500 0.000 0.500
0.500 0.500 0.000
```

As for the final energy: -14.01 eV per cell. The formation energy (no corrections) is 0.212 eV per atom. For the density of states at the Fermi level, the calculation gives 0.74 states/eV per cell. Its spin magnetization is 0.00 μB/atom. Its crystal system is cubic. The symmetry is Pm-3m, No. 221.

Ag3BCl6: relaxed, GGA-PBE.

Geometry as POSCAR:
```
Ag3BCl6
1.0
5.424 -6.486 0.000
5.424 6.486 0.000
0.000 0.000 7.501
Ag B Cl
6 2 12
Direct
0.045 0.955 0.500
0.216 0.387 0.509
0.387 0.216 0.009
0.613 0.784 0.509
0.784 0.613 0.009
0.955 0.045 0.000
0.328 0.672 0.859
0.672 0.328 0.359
0.141 0.578 0.964
0.165 0.171 0.251
0.171 0.165 0.751
0.292 0.708 0.607
0.422 0.859 0.964
0.475 0.525 0.858
0.525 0.475 0.358
0.578 0.141 0.464
0.708 0.292 0.107
0.829 0.835 0.251
0.835 0.829 0.751
0.859 0.422 0.464
```

As for the final energy: -64.26 eV per cell. The formation energy (no corrections) is -0.582 eV per atom. For the density of states at the Fermi level, the calculation gives 0.00 states/eV per cell. Its spin magnetization is 0.00 μB/atom. Its crystal system is orthorhombic. The symmetry is Cmc2_1, No. 36.

Ag3BCl6: relaxed, GGA-PBE.

Geometry as POSCAR:
```
Ag3BCl6
1.0
8.180 0.000 0.000
0.000 7.018 0.000
-3.228 0.000 9.562
Ag B Cl
6 2 12
Direct
0.000 0.000 0.000
0.000 0.500 0.500
0.015 0.003 0.699
0.015 0.497 0.199
0.985 0.503 0.801
0.985 0.997 0.301
0.500 0.000 0.500
0.500 0.500 0.000
0.178 0.215 0.547
0.178 0.285 0.047
0.219 0.736 0.803
0.219 0.764 0.303
0.495 0.143 0.371
0.495 0.357 0.871
0.505 0.643 0.129
0.505 0.857 0.629
0.781 0.236 0.697
0.781 0.264 0.197
0.822 0.715 0.953
0.822 0.785 0.453
```

As for the final energy: -61.03 eV per cell. The formation energy (no corrections) is -0.420 eV per atom. For the density of states at the Fermi level, the calculation gives 0.00 states/eV per cell. Its spin magnetization is 0.00 μB/atom. Its crystal system is monoclinic. The symmetry is P2_1/c, No. 14.

AgBCl3: relaxed, GGA-PBE.

Geometry as POSCAR:
```
AgBCl3
1.0
5.020 0.000 0.000
0.000 5.020 0.000
0.000 0.000 5.020
Ag B Cl
1 1 3
Direct
0.000 0.000 0.000
0.500 0.500 0.500
0.000 0.000 0.500
0.000 0.500 0.000
0.500 0.000 0.000
```

As for the final energy: -11.61 eV per cell. The formation energy (no corrections) is 0.691 eV per atom. For the density of states at the Fermi level, the calculation gives 1.20 states/eV per cell. Its spin magnetization is 0.00 μB/atom. Its crystal system is cubic. The symmetry is Pm-3m, No. 221.

AgBCl2: relaxed, GGA-PBE.

Geometry as POSCAR:
```
AgBCl2
1.0
-2.892 2.892 6.217
2.892 -2.892 6.217
2.892 2.892 -6.217
Ag B Cl
2 2 4
Direct
0.000 0.000 0.000
0.750 0.250 0.500
0.250 0.750 0.500
0.500 0.500 0.000
0.141 0.625 0.016
0.375 0.391 0.516
0.609 0.125 0.984
0.875 0.859 0.484
```

As for the final energy: -21.84 eV per cell. The formation energy (no corrections) is 0.575 eV per atom. For the density of states at the Fermi level, the calculation gives 0.00 states/eV per cell. Its spin magnetization is 0.00 μB/atom. Its crystal system is tetragonal. The symmetry is I-42d, No. 122.

CrAgBCl2: relaxed, GGA-PBE.

Geometry as POSCAR:
```
CrAgBCl2
1.0
4.841 0.000 0.000
0.000 4.841 0.000
0.000 0.000 4.293
Cr Ag B Cl
1 1 1 2
Direct
0.000 0.000 0.000
0.500 0.500 0.000
0.500 0.500 0.500
0.000 0.500 0.500
0.500 0.000 0.500
```

As for the final energy: -19.00 eV per cell. The formation energy (no corrections) is 0.769 eV per atom. For the density of states at the Fermi level, the calculation gives 3.32 states/eV per cell. Its spin magnetization is 0.88 μB/atom. Its crystal system is tetragonal. The symmetry is P4/mmm, No. 123.

- What is the spin magnetization in the third record?
  0.00 μB/atom

- Number 4 is which compound?
  Ag3BCl6

- Among the records above, which one has the highest spin magnetization?
  CrAgBCl2